A plane-wave DFT calculation with PBE was carried out for an optimized crystal structure of Pr3ScTe4.

Structure (CIF):
```
data_Pr3ScTe4
_chemical_formula_sum 'Pr6 Sc2 Te8'
_cell_length_a 9.012
_cell_length_b 12.592
_cell_length_c 4.393
_cell_angle_alpha 90.00
_cell_angle_beta 90.00
_cell_angle_gamma 90.00
_symmetry_space_group_name_H-M 'C m m m'
_symmetry_Int_Tables_number 65
_symmetry_space_group_name_Hall '-C 2 2'
loop_
_atom_site_label
_atom_site_type_symbol
_atom_site_fract_x
_atom_site_fract_y
_atom_site_fract_z
Pr1 Pr 0.000 0.000 0.000
Pr2 Pr 0.250 0.250 0.500
Sc1 Sc 0.000 0.500 0.000
Te1 Te 0.000 0.260 0.000
Te2 Te 0.230 0.500 0.500
```

Summary:
* uncorrected formation energy: -1330 meV per atom

***

A plane-wave DFT calculation with PBE was carried out for an optimized crystal structure of Sr2GaAsP.

Structure (CIF):
```
data_Sr2GaAsP
_chemical_formula_sum 'Sr4 Ga2 As2 P2'
_cell_length_a 7.612
_cell_length_b 4.572
_cell_length_c 8.012
_cell_angle_alpha 90.00
_cell_angle_beta 90.02
_cell_angle_gamma 90.00
_symmetry_space_group_name_H-M 'P 1 21/m 1'
_symmetry_Int_Tables_number 11
loop_
_symmetry_equiv_pos_as_xyz
'x,y,z'
'-x,-y,-z'
'-x,y+1/2,-z'
'x,-y+1/2,z'
loop_
_atom_site_label
_atom_site_type_symbol
_atom_site_fract_x
_atom_site_fract_y
_atom_site_fract_z
Sr1 Sr 0.231 0.250 0.004
Sr2 Sr 0.232 0.250 0.496
Ga1 Ga 0.427 0.750 0.750
As1 As 0.103 0.750 0.750
P1 P 0.442 0.750 0.250
```

Summary:
* ΔH_f (0 K): -844 meV per atom

***

A plane-wave DFT calculation with PBE was carried out for an optimized crystal structure of Ho3Co.

Structure (CIF):
```
data_Ho3Co
_chemical_formula_sum 'Ho12 Co4'
_cell_length_a 6.919
_cell_length_b 9.357
_cell_length_c 6.193
_cell_angle_alpha 90.00
_cell_angle_beta 90.00
_cell_angle_gamma 90.00
_symmetry_space_group_name_H-M 'P n m a'
_symmetry_Int_Tables_number 62
loop_
_symmetry_equiv_pos_as_xyz
'x,y,z'
'-x,-y,-z'
'-x+1/2,-y,z+1/2'
'x+1/2,y,-z+1/2'
'x+1/2,-y+1/2,-z+1/2'
'-x+1/2,y+1/2,z+1/2'
'-x,y+1/2,-z'
'x,-y+1/2,z'
loop_
_atom_site_label
_atom_site_type_symbol
_atom_site_fract_x
_atom_site_fract_y
_atom_site_fract_z
Ho1 Ho 0.043 0.250 0.141
Ho2 Ho 0.175 0.068 0.677
Co1 Co 0.113 0.750 0.452
```

Summary:
* ΔH_f (0 K): -175 meV per atom

***

A plane-wave DFT calculation with PBE was carried out for an optimized crystal structure of Cs2VPbI6.

Structure (CIF):
```
data_Cs2VPbI6
_chemical_formula_sum 'Cs12 V6 Pb6 I36'
_cell_length_a 8.5319
_cell_length_b 8.5319
_cell_length_c 44.0293
_cell_angle_alpha 90.00
_cell_angle_beta 90.00
_cell_angle_gamma 120.00
_symmetry_space_group_name_H-M 'R -3 m'
_symmetry_Int_Tables_number 166
_symmetry_space_group_name_Hall '-R 3 2"'
loop_
_atom_site_label
_atom_site_type_symbol
_atom_site_fract_x
_atom_site_fract_y
_atom_site_fract_z
Cs1 Cs 0.0000 0.0000 0.1175
Cs2 Cs 0.0000 0.0000 0.3009
V1 V 0.0000 0.0000 0.0000
V2 V 0.0000 0.0000 0.5000
Pb1 Pb 0.0000 0.0000 0.4166
I1 I 0.0105 0.5052 0.1297
I2 I 0.0199 0.5099 0.7047
```

Summary:
* uncorrected formation energy: -933 meV per atom

***

- What is the formula in the second record?
  Sr2GaAsP